! CsAcP, relaxed, DFT PBE; values from VASP
&SYSTEM
  ibrav = 0, nat = 3, ntyp = 3
/
ATOMIC_SPECIES
Cs 132.91 Cs.upf
P 30.97 P.upf
Ac 227.00 Ac.upf
ATOMIC_POSITIONS crystal
Cs 0.581 0.667 0.333
P 0.282 0.333 0.667
Ac 0.137 0.000 0.000
CELL_PARAMETERS angstrom
-8.485 0.271 0.549
-0.262 -4.142 -2.013
0.307 0.318 4.592
! formation enthalpy at 0 K: -57 kJ per mole of atoms
! offset from the most stable computed form: 206 meV/atom

***

! CsAcP2, relaxed, DFT PBE; values from VASP
&SYSTEM
  ibrav = 0, nat = 4, ntyp = 3
/
ATOMIC_SPECIES
Cs 132.91 Cs.upf
P 30.97 P.upf
Ac 227.00 Ac.upf
ATOMIC_POSITIONS crystal
Cs 0.500 0.500 0.500
P 0.272 0.272 0.184
P 0.728 0.728 0.816
Ac 0.000 0.000 0.000
CELL_PARAMETERS angstrom
4.607 0.000 0.000
2.304 3.990 0.000
2.304 1.330 8.310
! formation enthalpy at 0 K: -42 kJ per mole of atoms
! offset from the most stable computed form: 0 meV/atom

***

! CsAcP, relaxed, DFT PBE; values from VASP
&SYSTEM
  ibrav = 0, nat = 6, ntyp = 3
/
ATOMIC_SPECIES
Ac 227.00 Ac.upf
P 30.97 P.upf
Cs 132.91 Cs.upf
ATOMIC_POSITIONS crystal
Ac 0.751 0.203 0.405
Ac 0.249 0.797 0.595
P 0.748 0.307 0.614
P 0.252 0.693 0.386
Cs 0.744 0.919 0.837
Cs 0.256 0.081 0.163
CELL_PARAMETERS angstrom
-0.193 -0.231 4.516
0.369 -4.302 -0.205
14.314 3.360 0.850
! formation enthalpy at 0 K: -77 kJ per mole of atoms
! offset from the most stable computed form: 0 meV/atom

***

! Cs3AcP2S8, relaxed, DFT PBE; values from VASP
&SYSTEM
  ibrav = 0, nat = 14, ntyp = 4
/
ATOMIC_SPECIES
Cs 132.91 Cs.upf
Ac 227.00 Ac.upf
P 30.97 P.upf
S 32.06 S.upf
ATOMIC_POSITIONS crystal
Cs 0.333 0.667 0.686
Cs 0.667 0.333 0.314
Cs 0.000 0.000 0.000
Ac 0.000 0.000 0.500
P 0.333 0.667 0.245
P 0.667 0.333 0.755
S 0.333 0.667 0.046
S 0.667 0.333 0.954
S 0.181 0.819 0.320
S 0.819 0.181 0.680
S 0.181 0.361 0.320
S 0.819 0.639 0.680
S 0.639 0.819 0.320
S 0.361 0.181 0.680
CELL_PARAMETERS angstrom
-2.009 4.750 -5.223
-4.513 -1.406 5.615
4.117 7.423 5.167
! formation energy (no corrections): -983 meV per atom

***

! Cs2AcP2S6, relaxed, DFT PBE; values from VASP
&SYSTEM
  ibrav = 0, nat = 11, ntyp = 4
/
ATOMIC_SPECIES
Cs 132.91 Cs.upf
Ac 227.00 Ac.upf
P 30.97 P.upf
S 32.06 S.upf
ATOMIC_POSITIONS crystal
Cs 0.717 0.433 0.195
Cs 0.283 0.567 0.805
Ac 0.500 0.000 0.500
P 0.950 0.899 0.826
P 0.050 0.101 0.174
S 0.761 0.522 0.650
S 0.205 0.941 0.212
S 0.264 0.059 0.788
S 0.795 0.059 0.788
S 0.736 0.941 0.212
S 0.239 0.478 0.350
CELL_PARAMETERS angstrom
7.252 0.000 0.000
-3.626 6.316 -0.190
0.000 -3.886 7.580
! formation energy (no corrections): -940 meV per atom

***

! Cs2Ac2PaS6, relaxed, DFT PBE; values from VASP
&SYSTEM
  ibrav = 0, nat = 11, ntyp = 4
/
ATOMIC_SPECIES
Cs 132.91 Cs.upf
Ac 227.00 Ac.upf
Pa 231.04 Pa.upf
S 32.06 S.upf
ATOMIC_POSITIONS crystal
Cs 0.831 0.169 0.000
Cs 0.169 0.831 0.000
Ac 0.335 0.665 0.500
Ac 0.665 0.335 0.500
Pa 0.000 0.000 0.500
S 0.756 0.756 0.682
S 0.058 0.370 0.681
S 0.244 0.244 0.318
S 0.370 0.058 0.681
S 0.942 0.630 0.319
S 0.630 0.942 0.319
CELL_PARAMETERS angstrom
7.497 0.013 0.081
-3.694 6.524 0.081
-1.343 -2.309 8.191
! formation energy (no corrections): -1811 meV per atom

***

In eV/cell, the uncorrected energy values for the records above are, in order, -12.133, -17.529, -25.501, -64.276, -51.740, -64.104.
In μB/f.u., the M_tot values for the records above are, in order, 0.00, 1.56, 0.00, 0.00, 0.00, 1.07.